The following is a DFT calculation (PBE-GGA) of a relaxed Er3Tl2 crystal.

Its crystal system is tetragonal. The calculation puts the volume at 572 Å³/cell. For the formation energy, the calculation gives -125 meV per atom. As for the total energy: -19.04 eV per formula unit.

It has space group I4_1/amd (No. 141, origin choice 2), with a = 6.080 Å, b = 6.080 Å, c = 15.475 Å, α = 90.00°, β = 90.00° and γ = 90.00°. The inequivalent atoms are Er at (0.000, 0.000, 0.000), Er at (0.000, 0.250, 0.375) and Tl at (0.000, 0.250, 0.179).